(1)
This record from Alexandria describes a relaxed structure of Li3CoSe. The functional is PBE-GGA.

Cell: 4.7843 4.7843 4.7843 Å, 90.00 90.00 90.00°
Last column: nearest neighbours and their distance in Å.
Positions (direct):
Li1 0.0000 0.0000 0.5000  2 Se 2.39
Li2 0.0000 0.5000 0.0000  2 Se 2.39
Li3 0.5000 0.0000 0.0000  2 Se 2.39
Co1 0.5000 0.5000 0.5000  12 Li 3.38
Se1 0.0000 0.0000 0.0000  6 Li 2.39

Values from the calculation:
E	-3.275	eV/atom
mass density	2.41	Mg/m³
uncorrected formation energy	-0.009	eV/atom

---

(2)
This record from Alexandria describes a relaxed structure of BeAgI2. The functional is PBE-GGA.

Cell: 6.8293 6.8293 6.8293 Å, 115.94 115.94 97.18°
Last column: nearest neighbours and their distance in Å.
Positions (direct):
Be1 0.0000 0.0000 0.0000  4 I 2.46
Be2 0.7500 0.2500 0.5000  4 I 2.46
Ag1 0.2500 0.7500 0.5000  4 I 3.20
Ag2 0.5000 0.5000 0.0000  4 I 3.20
I1 0.0450 0.6250 0.9200  2 Be 2.46
I2 0.3750 0.2950 0.4200  2 Be 2.46
I3 0.7050 0.1250 0.0800  2 Be 2.46
I4 0.8750 0.9550 0.5800  2 Be 2.46

Values from the calculation:
E	-2.232	eV/atom
mass density	5.19	Mg/m³
uncorrected formation energy	0.188	eV/atom

---

(3)
This record from Alexandria describes a relaxed structure of IrWAu3. The functional is PBE-GGA.

Cell: 4.9743 4.9743 4.9743 Å, 90.00 90.00 90.00°
Last column: nearest neighbours and their distance in Å.
Positions (direct):
Ir1 0.0000 0.0000 0.0000  6 Au 2.49
W1 0.5000 0.5000 0.5000  12 Au 3.52
Au1 0.0000 0.0000 0.5000  2 Ir 2.49
Au2 0.0000 0.5000 0.0000  2 Ir 2.49
Au3 0.5000 0.0000 0.0000  2 Ir 2.49

Values from the calculation:
E	-4.410	eV/atom
mass density	13.05	Mg/m³
DFT formation energy	1.9190	eV per atom

---

(4)
This record from Alexandria describes a relaxed structure of La4Nd2DyHo. The functional is PBE-GGA.

Cell: 5.2190 5.2575 10.2156 Å, 90.00 90.07 90.00°
Last column: nearest neighbours and their distance in Å.
Positions (direct):
La1 0.9999 0.0000 0.2494  2 Ho 3.64-3.65, 4 Nd 3.65-3.66, 2 Dy 3.67, 4 La 3.70-3.71
La2 0.0001 0.0000 0.7506  2 Ho 3.64-3.65, 4 Nd 3.65-3.66, 2 Dy 3.67, 4 La 3.70-3.71
La3 0.4995 0.5000 0.7498  2 Dy 3.65, 4 Nd 3.65-3.66, 2 Ho 3.67, 4 La 3.70-3.71
La4 0.5005 0.5000 0.2502  2 Dy 3.65, 4 Nd 3.65-3.66, 2 Ho 3.67, 4 La 3.70-3.71
Nd1 0.0000 0.5000 0.0000  8 La 3.65-3.66, 4 Ho 3.70
Nd2 0.5000 0.0000 0.5000  8 La 3.65-3.66, 4 Dy 3.70
Dy1 0.0000 0.5000 0.5000  8 La 3.65-3.67, 4 Nd 3.70
Ho1 0.5000 0.0000 0.0000  8 La 3.64-3.67, 4 Nd 3.70

Values from the calculation:
E	-4.788	eV/atom
mass density	6.94	Mg/m³
DFT formation energy	0.0154	eV per atom

---

(5)
This record from Alexandria describes a relaxed structure of Sr2ZnCd2. The functional is PBE-GGA.

Cell: 10.0830 10.0830 10.0830 Å, 156.39 156.39 33.63°
Last column: nearest neighbours and their distance in Å.
Positions (direct):
Sr1 0.0975 0.0975 0.0000  4 Zn 3.47, 4 Cd 3.59, 1 Sr 3.76
Sr2 0.9025 0.9025 0.0000  4 Zn 3.47, 4 Cd 3.59, 1 Sr 3.76
Zn1 0.5000 0.5000 0.0000  8 Sr 3.47
Cd1 0.2500 0.7500 0.5000  4 Cd 2.92
Cd2 0.7500 0.2500 0.5000  4 Cd 2.92

Values from the calculation:
E	-1.403	eV/atom
mass density	4.71	Mg/m³
DFT formation energy	-0.1092	eV per atom

---

(6)
This record from Alexandria describes a relaxed structure of GdErHgGe. The functional is PBE-GGA.

Cell: 5.1620 5.1620 5.1620 Å, 60.00 60.00 60.00°
Last column: nearest neighbours and their distance in Å.
Positions (direct):
Gd1 0.0000 0.0000 0.0000  4 Ge 3.16, 4 Hg 3.16
Er1 0.5000 0.5000 0.5000  4 Hg 3.16, 4 Ge 3.16
Hg1 0.2500 0.2500 0.2500  4 Gd 3.16, 4 Er 3.16
Ge1 0.7500 0.7500 0.7500  4 Gd 3.16, 4 Er 3.16

Values from the calculation:
E	-6.448	eV/atom
mass density	10.21	Mg/m³
DFT formation energy	-0.5568	eV per atom

---

The lowest E belongs to which entry?
GdErHgGe